No. 1
NaH2AuI (GGA-PBEsol, optimized geometry); VASP energy = -2.32 eV per atom; calculated volume = 24.72 Å³ per atom; symmetry = No. 123
1.0
-3.509 -0.812 -1.788
-1.650 -0.766 3.586
-2.024 7.343 0.637
Au Na H I
1 1 2 1
Direct
0.000 0.000 0.500
0.500 0.500 0.500
0.500 0.000 0.000
0.000 0.500 0.000
0.000 0.000 0.000

No. 2
KRe2Te (GGA-PBEsol, optimized geometry); formation energy without anion corrections = 131.06 kJ per mole of atoms; calculated volume = 23.38 Å³ per atom; symmetry = No. 47
1.0
2.957 0.000 0.000
0.000 4.681 0.000
0.000 0.000 6.757
K Re Te
1 2 1
Direct
0.500 0.500 0.500
0.000 0.000 0.836
0.000 0.000 0.164
0.500 0.500 0.000

No. 3
La2MgAl (GGA-PBEsol, optimized geometry); ΔH_f (0 K) = -0.189 eV/atom; calculated volume = 27.11 Å³ per atom; symmetry = No. 44
1.0
3.765 0.000 0.000
0.000 5.374 -0.025
-1.883 -2.663 5.372
La Al Mg
2 1 1
Direct
0.758 0.258 0.515
0.984 0.984 0.969
0.226 0.726 0.452
0.532 0.532 0.063

No. 4
Tc2OsRu (GGA-PBEsol, optimized geometry); ΔH_f (0 K) = 0.045 eV/atom; calculated volume = 13.82 Å³ per atom; symmetry = No. 123
1.0
-2.411 -0.313 -1.165
1.011 -1.943 -1.572
-1.853 -5.199 5.234
Ru Os Tc
1 1 2
Direct
0.500 0.500 0.500
0.500 0.500 0.000
0.000 0.000 0.252
0.000 0.000 0.748

No. 5
NaSeBr2O (GGA-PBEsol, optimized geometry); formation energy without anion corrections = 74.13 kJ per mole of atoms; calculated volume = 31.79 Å³ per atom; symmetry = No. 123
1.0
-2.571 3.102 3.495
-2.734 -4.234 1.746
3.970 -0.996 3.804
O Na Br Se
1 1 2 1
Direct
0.500 0.500 0.500
0.000 0.000 0.000
0.500 0.000 0.000
0.000 0.500 0.000
0.000 0.000 0.500

No. 6
TcTe2Pt (GGA-PBEsol, optimized geometry); formation energy without anion corrections = 64.71 kJ per mole of atoms; calculated volume = 22.69 Å³ per atom; symmetry = No. 166
1.0
3.524 0.000 0.000
1.762 3.052 0.000
1.762 1.017 8.439
Pt Tc Te
1 1 2
Direct
0.500 0.500 0.500
0.000 0.000 0.000
0.901 0.901 0.296
0.099 0.099 0.704

No. 7
WCl2O (GGA-PBEsol, optimized geometry); formation energy without anion corrections = 48.70 kJ per mole of atoms; calculated volume = 12.55 Å³ per atom; symmetry = No. 225
1.0
-2.238 -3.343 0.977
-0.421 -3.081 -2.733
1.880 -3.628 0.665
Cl O W
2 1 1
Direct
0.750 0.750 0.750
0.250 0.250 0.250
0.000 0.000 0.000
0.500 0.500 0.500

No. 8
TlTcCl2 (GGA-PBEsol, optimized geometry); formation energy without anion corrections = -15.15 kJ per mole of atoms; calculated volume = 21.80 Å³ per atom; symmetry = No. 8
1.0
-2.739 0.199 1.393
3.523 -2.009 3.812
0.027 5.925 -0.794
Tc Cl Tl
1 2 1
Direct
0.448 0.896 0.625
0.027 0.054 0.967
0.843 0.685 0.285
0.183 0.365 0.623

No. 9
BeHSe (GGA-PBEsol, optimized geometry); VASP energy = -4.18 eV per atom; calculated volume = 16.85 Å³ per atom; symmetry = No. 8
1.0
3.617 0.000 0.003
1.807 3.134 0.003
1.362 0.787 8.923
H Be Se
2 2 2
Direct
0.597 0.597 0.813
0.665 0.665 0.875
0.475 0.475 0.262
0.764 0.764 0.433
0.409 0.409 0.519
0.831 0.831 0.176

No. 10
SbMoOs2 (GGA-PBEsol, optimized geometry); formation energy without anion corrections = 39.48 kJ per mole of atoms; calculated volume = 15.78 Å³ per atom; symmetry = No. 12
1.0
-1.116 -2.095 -1.656
4.168 -0.468 -2.216
1.283 -2.028 4.231
Os Sb Mo
2 1 1
Direct
0.262 0.270 0.523
0.738 0.730 0.477
0.500 0.000 0.000
0.000 0.500 0.000

No. 11
TaFePb3 (GGA-PBEsol, optimized geometry); ΔH_f (0 K) = 1.271 eV/atom; calculated volume = 31.60 Å³ per atom; symmetry = No. 221
1.0
-0.100 4.252 -3.338
-4.855 -1.538 -1.813
-2.376 2.964 3.847
Fe Pb Ta
1 3 1
Direct
0.500 0.500 0.500
0.000 0.500 0.000
0.000 0.000 0.500
0.500 0.000 0.000
0.000 0.000 0.000

No. 12
BaSc (GGA-PBEsol, optimized geometry); ΔH_f (0 K) = 0.936 eV/atom; calculated volume = 39.49 Å³ per atom; symmetry = No. 225
1.0
4.816 0.000 0.000
2.408 4.171 0.000
2.408 1.390 3.932
Sc Ba
1 1
Direct
0.500 0.500 0.500
0.000 0.000 0.000